Entry 1:
Entry from Alexandria via LeMat-Bulk: ErTa3C4 after structural relaxation (PBE).

```
data_ErTa3C4
_chemical_formula_sum 'Er2 Ta6 C8'
_symmetry_space_group_name_H-M 'C m m m'
_symmetry_Int_Tables_number 65
_symmetry_space_group_name_Hall '-C 2 2'
_cell_length_a 6.5233
_cell_length_b 9.1607
_cell_length_c 3.2169
_cell_angle_alpha 90.00
_cell_angle_beta 90.00
_cell_angle_gamma 90.00
loop_
_atom_site_label
_atom_site_fract_x
_atom_site_fract_y
_atom_site_fract_z
Er1 0.0000 0.0000 0.0000
Ta1 0.0000 0.5000 0.0000
Ta2 0.2500 0.2500 0.5000
C1 0.0000 0.2574 0.0000
C2 0.2326 0.5000 0.5000
```

Results
Energy of formation from the pure elements = -53.6 kJ/mol of atoms
Total magnetization = 0.00 μB per cell
ρ = 13.10 g/cm³

---

Entry 2:
Entry from Alexandria via LeMat-Bulk: Er2TaC after structural relaxation (PBE).

```
data_Er2TaC
_chemical_formula_sum 'Er6 Ta3 C3'
_symmetry_space_group_name_H-M 'R -3 m'
_symmetry_Int_Tables_number 166
_symmetry_space_group_name_Hall '-R 3 2"'
_cell_length_a 3.3311
_cell_length_b 3.3311
_cell_length_c 26.5820
_cell_angle_alpha 90.00
_cell_angle_beta 90.00
_cell_angle_gamma 120.00
loop_
_atom_site_label
_atom_site_fract_x
_atom_site_fract_y
_atom_site_fract_z
Er1 0.0000 0.0000 0.1154
Ta1 0.0000 0.0000 0.0000
C1 0.0000 0.0000 0.5000
```

Results
Energy of formation from the pure elements = 38.6 kJ/mol of atoms
Total magnetization = 2.35 μB per cell
ρ = 10.29 g/cm³

---

What is the total magnetization in the first record?
0.00 μB per cell